1.
Entry from the Alexandria database: a relaxed Cs3Er2NpSe6 crystal (PBE-GGA).

Calculated values
Energy relative to the elements, uncorrected, eV/atom: -1.542
DFT total energy, eV/atom: -5.3362

Lattice parameters (Å, degrees): 7.4084 7.4084 8.7227 98.13 98.13 119.88
Site moments in Bohr magnetons follow the coordinates.
Fractional coordinates of all 12 atoms:
1 Cs 0.5000 0.5000 0.5000  0.00
2 Cs 0.1665 0.8335 0.5000  0.00
3 Cs 0.8335 0.1665 0.5000  0.00
4 Er 0.6661 0.3339 0.0000  0.03
5 Er 0.3339 0.6661 0.0000  0.03
6 Se 0.2782 0.2782 0.8152  -0.02
7 Se 0.4015 0.0622 0.1848  -0.02
8 Se 0.9378 0.5985 0.8152  -0.02
9 Se 0.5985 0.9378 0.8152  -0.02
10 Se 0.7218 0.7218 0.1848  -0.02
11 Se 0.0622 0.4015 0.1848  -0.02
12 Np 0.0000 0.0000 0.0000  3.92

2.
Entry from the Alexandria database: a relaxed PmNdBiI crystal (PBE-GGA).

Calculated values
Energy relative to the elements, uncorrected, eV/atom: -0.845
DFT total energy, eV/atom: -4.5820

Lattice parameters (Å, degrees): 5.5691 5.5691 5.5691 60.00 60.00 60.00
Site moments in Bohr magnetons follow the coordinates.
Fractional coordinates of all 4 atoms:
1 Nd 0.0000 0.0000 0.0000  0.06
2 I 0.7500 0.7500 0.7500  0.00
3 Bi 0.2500 0.2500 0.2500  0.00
4 Pm 0.5000 0.5000 0.5000  0.06

3.
Entry from the Alexandria database: a relaxed HfMgS2 crystal (PBE-GGA).

Calculated values
Energy relative to the elements, uncorrected, eV/atom: -0.811
Polymorph energy (0 for the lowest one), eV/atom: 0.405
DFT total energy, eV/atom: -5.7622

Lattice parameters (Å, degrees): 7.9369 7.9369 7.9369 26.91 26.91 26.91
Fractional coordinates of all 4 atoms:
1 Mg 0.5000 0.5000 0.5000
2 Hf 0.0000 0.0000 0.0000
3 S 0.8956 0.8956 0.8956
4 S 0.1044 0.1044 0.1044